1.
A plane-wave DFT calculation with GGA-PBE was carried out for a relaxed FeAs2SBr crystal.

Unit cell a=4.801 b=4.801 c=5.126 alpha=90.00 beta=90.00 gamma=90.00
Space group P4/mmm (No. 123)
One atom of each set of equivalent atoms:
Fe 0.000 0.000 0.000 x1
As 0.000 0.500 0.500 x2
S 0.500 0.500 0.500 x1
Br 0.500 0.500 0.000 x1

Formation energy from raw total energies   1.083 eV per atom
Crystal system   tetragonal
Distance to the lowest polymorph of the same formula   513.0 meV per atom
Uncorrected energy   -3.6291 eV/atom

***

2.
A plane-wave DFT calculation with GGA-PBE was carried out for a relaxed Fe2AsSBr crystal.

Unit cell a=4.802 b=4.802 c=4.725 alpha=90.00 beta=90.00 gamma=90.00
Space group P4/mmm (No. 123)
One atom of each set of equivalent atoms:
Fe 0.000 0.500 0.000 x2
As 0.000 0.000 0.000 x1
S 0.000 0.000 0.500 x1
Br 0.500 0.500 0.500 x1

Formation energy from raw total energies   0.746 eV per atom
Crystal system   tetragonal
Uncorrected energy   -4.7289 eV/atom

***

3.
A plane-wave DFT calculation with GGA-PBE was carried out for a relaxed FeAs2SBr crystal.

Unit cell a=4.666 b=4.666 c=4.674 alpha=90.00 beta=90.00 gamma=90.00
Space group P4/mmm (No. 123)
One atom of each set of equivalent atoms:
Fe 0.000 0.000 0.000 x1
As 0.000 0.500 0.000 x2
S 0.500 0.500 0.500 x1
Br 0.000 0.000 0.500 x1

Formation energy from raw total energies   0.570 eV per atom
Crystal system   tetragonal
Distance to the lowest polymorph of the same formula   0.0 meV per atom
Uncorrected energy   -4.1421 eV/atom

***

4.
A plane-wave DFT calculation with GGA-PBE was carried out for a relaxed FeAsSBr2 crystal.

Unit cell a=4.743 b=4.743 c=4.705 alpha=90.00 beta=90.00 gamma=90.00
Space group P4/mmm (No. 123)
One atom of each set of equivalent atoms:
Fe 0.000 0.000 0.000 x1
As 0.000 0.000 0.500 x1
S 0.500 0.500 0.500 x1
Br 0.000 0.500 0.000 x2

Formation energy from raw total energies   0.623 eV per atom
Crystal system   tetragonal
Distance to the lowest polymorph of the same formula   0.0 meV per atom
Uncorrected energy   -3.4944 eV/atom